Here is crystalline Mn4NO8 at its relaxed geometry from the Alexandria database. Energies are from PBE+U.

Computed properties:
Final energy (eV per atom): -6.81
Space-group type: No. 87
Theoretical density (kg/m³): 4114

CIF file:
```
data_Mn4NO8
_chemical_formula_sum 'Mn4 N1 O8'
_symmetry_space_group_name_H-M 'P 1'
_symmetry_Int_Tables_number 1
_symmetry_space_group_name_Hall 'P 1'
_cell_length_a 7.196
_cell_length_b 7.196
_cell_length_c 7.196
_cell_angle_alpha 92.40
_cell_angle_beta 92.40
_cell_angle_gamma 156.40
loop_
_atom_site_label
_atom_site_type_symbol
_atom_site_fract_x
_atom_site_fract_y
_atom_site_fract_z
O1 O 0.344 0.295 0.638
Mn1 Mn 0.849 0.666 0.515
O2 O 0.705 0.344 0.049
Mn2 Mn 0.334 0.849 0.183
O3 O 0.043 0.665 0.707
O4 O 0.656 0.705 0.362
N1 N 0.000 0.000 0.000
O5 O 0.335 0.043 0.378
O6 O 0.295 0.656 0.951
Mn3 Mn 0.666 0.151 0.817
Mn4 Mn 0.151 0.334 0.485
O7 O 0.957 0.335 0.293
O8 O 0.665 0.957 0.622
```